(1)
DFT (GGA-PBE) results for a geometry-optimized Er2Co5C4 structure.

## Properties
As for the space group: Fmmm, No. 69.

Cell: 4.888 5.284 5.692 Å, 78.54 64.57 62.45°
Fractional positions:
Er (0.849, 0.000, 0.302)
Er (0.151, 0.000, 0.698)
Co (0.500, 0.000, 0.000)
Co (0.000, 0.500, 0.000)
Co (0.500, 0.500, 0.000)
Co (0.250, 0.500, 0.500)
Co (0.750, 0.500, 0.500)
C (0.479, 0.308, 0.734)
C (0.521, 0.692, 0.266)
C (0.213, 0.308, 0.266)
C (0.787, 0.692, 0.734)

***

(2)
DFT (GGA-PBE) results for a geometry-optimized ErCo4C2 structure.

## Properties
As for the space group: Cmmm, No. 65.

Cell: 3.459 3.479 6.578 Å, 105.33 90.00 90.00°
Fractional positions:
Er (0.000, 0.000, 0.000)
Co (0.500, 0.824, 0.649)
Co (0.000, 0.679, 0.358)
Co (0.500, 0.176, 0.351)
Co (0.000, 0.321, 0.642)
C (0.500, 0.614, 0.228)
C (0.500, 0.386, 0.772)

***

(3)
DFT (GGA-PBE) results for a geometry-optimized Er2Co4C structure.

## Properties
As for the space group: I4/mmm, No. 139.

Cell: 3.810 3.810 7.674 Å, 75.63 75.63 90.00°
Fractional positions:
C (0.000, 0.000, 0.000)
Co (0.873, 0.873, 0.254)
Co (0.127, 0.127, 0.746)
Co (0.000, 0.500, 0.000)
Co (0.500, 0.000, 0.000)
Er (0.663, 0.663, 0.674)
Er (0.337, 0.337, 0.326)

***

(4)
DFT (GGA-PBE) results for a geometry-optimized ErCoC structure.

## Properties
As for the space group: P4_2/mmc, No. 131. The value obtained for the excess energy over the best structure of this formula in the dataset is 0 meV per atom.

Cell: 3.604 3.604 6.812 Å, 90.00 90.00 90.00°
Fractional positions:
Er (0.000, 0.000, 0.750)
Er (0.000, 0.000, 0.250)
Co (0.500, 0.500, 0.000)
Co (0.500, 0.500, 0.500)
C (0.500, 0.000, 0.500)
C (0.000, 0.500, 0.000)

***

(5)
DFT (GGA-PBE) results for a geometry-optimized ErCo3C2 structure.

## Properties
As for the space group: C2/m, No. 12.

Cell: 3.475 6.448 6.712 Å, 114.70 90.00 105.63°
Fractional positions:
Er (0.857, 0.715, 0.947)
Er (0.143, 0.285, 0.053)
Co (0.308, 0.615, 0.595)
Co (0.946, 0.891, 0.616)
Co (0.607, 0.214, 0.686)
Co (0.393, 0.786, 0.314)
Co (0.054, 0.109, 0.384)
Co (0.692, 0.385, 0.405)
C (0.474, 0.947, 0.764)
C (0.526, 0.053, 0.236)
C (0.817, 0.634, 0.304)
C (0.183, 0.366, 0.696)

***

(6)
DFT (GGA-PBE) results for a geometry-optimized Er2GaCoC structure.

## Properties
As for the space group: P2_1/m, No. 11.

Cell: 3.881 6.157 8.210 Å, 109.83 90.00 90.00°
Fractional positions:
Er (0.750, 0.772, 0.620)
Er (0.750, 0.782, 0.031)
Er (0.250, 0.228, 0.380)
Er (0.250, 0.218, 0.969)
Ga (0.250, 0.712, 0.303)
Ga (0.750, 0.288, 0.697)
Co (0.250, 0.503, 0.742)
Co (0.750, 0.497, 0.258)
C (0.250, 0.809, 0.831)
C (0.750, 0.191, 0.169)

***

(7)
DFT (GGA-PBE) results for a geometry-optimized ErGa2Co2C structure.

## Properties
As for the space group: I4/mmm, No. 139.

Cell: 3.828 3.828 6.871 Å, 106.17 106.17 90.00°
Fractional positions:
Er (0.500, 0.500, 0.000)
Ga (0.250, 0.750, 0.500)
Ga (0.750, 0.250, 0.500)
Co (0.864, 0.864, 0.729)
Co (0.136, 0.136, 0.271)
C (0.000, 0.000, 0.000)

***

(8)
DFT (GGA-PBE) results for a geometry-optimized ErCo2GeC structure.

## Properties
As for the space group: Cmcm, No. 63.

Cell: 3.723 5.640 6.834 Å, 90.00 90.00 109.27°
Fractional positions:
Er (0.452, 0.903, 0.750)
Er (0.548, 0.097, 0.250)
Co (0.160, 0.320, 0.944)
Co (0.840, 0.680, 0.056)
Co (0.160, 0.320, 0.556)
Co (0.840, 0.680, 0.444)
Ge (0.730, 0.460, 0.750)
Ge (0.270, 0.540, 0.250)
C (0.000, 0.000, 0.000)
C (0.000, 0.000, 0.500)

***

| no. | formation enthalpy at 0 K (eV/atom) |
| --- | --- |
| 1 | -0.0793 |
| 2 | -0.0825 |
| 3 | -0.0913 |
| 4 | -0.3463 |
| 5 | -0.0646 |
| 6 | -0.3819 |
| 7 | -0.1982 |
| 8 | -0.4923 |